# Tm2MnGa3Ni4 GGA-PBE optimized geometry
data_Tm2MnGa3Ni4
_symmetry_space_group_name_H-M 'P -4 m 2'
_symmetry_Int_Tables_number 115
_cell_length_a 3.822
_cell_length_b 3.822
_cell_length_c 10.848
_cell_angle_alpha 90.00
_cell_angle_beta 90.00
_cell_angle_gamma 90.00
loop_
_symmetry_equiv_pos_as_xyz
'x,y,z'
'y,-x,-z'
'-x,-y,z'
'-y,x,-z'
'-x,y,z'
'-y,-x,-z'
'x,-y,z'
'y,x,-z'
loop_
_atom_site_label
_atom_site_fract_x
_atom_site_fract_y
_atom_site_fract_z
Tm1 0.000 0.500 0.244
Mn1 0.500 0.500 0.000
Ga1 0.000 0.000 0.000
Ga2 0.000 0.500 0.633
Ni1 0.000 0.000 0.500
Ni2 0.000 0.500 0.854
Ni3 0.500 0.500 0.500
# **Calculated total energy**: -5.50 eV/atom
# **ΔE_f**: -4.7 eV/f.u.